Record 1
# La2TaBe

La2TaBe after structural relaxation (PBE, Alexandria via LeMat-Bulk).

abc: 3.2804 5.1981 5.3018
angles: 90.00 90.00 90.00
Sites, in units of the cell vectors:
La: 0.0000 0.0000 0.0000
La: 0.5000 0.0000 0.5000
Ta: 0.0000 0.5000 0.5000
Be: 0.5000 0.5000 0.0000

Results
* VASP energy: -5.6204 eV per atom
* SG: Pmmm

=====

Record 2
# KSrLa2Tc

KSrLa2Tc after structural relaxation (PBE, Alexandria via LeMat-Bulk).

abc: 5.5057 5.5057 6.5716
angles: 90.00 90.00 90.00
Sites, in units of the cell vectors:
K: 0.0000 0.0000 0.0000
Sr: 0.5000 0.5000 0.0000
La: 0.0000 0.5000 0.5000
La: 0.5000 0.0000 0.5000
Tc: 0.5000 0.5000 0.5000

Results
* VASP energy: -4.4060 eV per atom
* SG: P4/mmm

=====

Record 3
# TmThCdPd

TmThCdPd after structural relaxation (PBE, Alexandria via LeMat-Bulk).

abc: 5.1912 5.1912 5.1912
angles: 60.00 60.00 60.00
Sites, in units of the cell vectors:
Tm: 0.0000 0.0000 0.0000
Th: 0.5000 0.5000 0.5000
Cd: 0.7500 0.7500 0.7500
Pd: 0.2500 0.2500 0.2500

Results
* VASP energy: -4.8994 eV per atom
* SG: F-43m

=====

Record 4
# Na3TcPb

Na3TcPb after structural relaxation (PBE, Alexandria via LeMat-Bulk).

abc: 5.5711 5.5711 5.5711
angles: 90.00 90.00 90.00
Sites, in units of the cell vectors:
Na: 0.0000 0.0000 0.5000
Na: 0.0000 0.5000 0.0000
Na: 0.5000 0.0000 0.0000
Tc: 0.0000 0.0000 0.0000
Pb: 0.5000 0.5000 0.5000

Results
* VASP energy: -2.4350 eV per atom
* SG: Pm-3m

=====

Record 5
# Pr3SmIn

Pr3SmIn after structural relaxation (PBE, Alexandria via LeMat-Bulk).

abc: 6.9764 6.9764 6.9764
angles: 87.92 87.92 87.92
Sites, in units of the cell vectors:
Pr: 0.0845 0.7500 0.4155
Pr: 0.2500 0.5845 0.9155
Pr: 0.4155 0.0845 0.7500
Pr: 0.5845 0.9155 0.2500
Pr: 0.7500 0.4155 0.0845
Pr: 0.9155 0.2500 0.5845
Sm: 0.0000 0.0000 0.0000
Sm: 0.5000 0.5000 0.5000
In: 0.2500 0.2500 0.2500
In: 0.7500 0.7500 0.7500

Results
* VASP energy: -4.4236 eV per atom
* SG: R-3c

=====

Record 6
# CaMg5Ni2

CaMg5Ni2 after structural relaxation (PBE, Alexandria via LeMat-Bulk).

abc: 6.7627 6.7627 6.7627
angles: 144.36 106.48 84.47
Sites, in units of the cell vectors:
Ca: 0.0000 0.0000 0.0000
Mg: 0.1496 0.3354 0.8142
Mg: 0.4789 0.6646 0.8142
Mg: 0.5000 0.0000 0.5000
Mg: 0.5211 0.3354 0.1858
Mg: 0.8504 0.6646 0.1858
Ni: 0.2432 0.7432 0.5000
Ni: 0.7568 0.2568 0.5000

Results
* VASP energy: -2.7843 eV per atom
* SG: Immm

=====

Record 7
# V2NiHg

V2NiHg after structural relaxation (PBE, Alexandria via LeMat-Bulk).

abc: 5.5791 5.5791 5.5791
angles: 101.72 101.72 126.41
Sites, in units of the cell vectors:
V: 0.0817 0.6250 0.9567
V: 0.3750 0.3317 0.4567
V: 0.6683 0.1250 0.0433
V: 0.8750 0.9183 0.5433
Ni: 0.0000 0.0000 0.0000
Ni: 0.7500 0.2500 0.5000
Hg: 0.2500 0.7500 0.5000
Hg: 0.5000 0.5000 0.0000

Results
* VASP energy: -5.5535 eV per atom
* SG: I-42d

=====

Record 8
# YTl2Cl

YTl2Cl after structural relaxation (PBE, Alexandria via LeMat-Bulk).

abc: 10.5114 10.5114 10.5114
angles: 20.43 20.43 20.43
Sites, in units of the cell vectors:
Y: 0.0000 0.0000 0.0000
Tl: 0.2564 0.2564 0.2564
Tl: 0.5067 0.5067 0.5067
Cl: 0.7233 0.7233 0.7233

Results
* VASP energy: -4.0055 eV per atom
* ΔE_f (raw): -745 meV/atom
* SG: R3m

=====

Question: VASP energy of number 3 (TmThCdPd)?
Answer: -4.8994 eV per atom